(1)
A plane-wave DFT calculation with PBE-GGA was carried out for a relaxed structure of ThScPa2As4.

```
ThScPa2As4
1.0
4.107 0.000 0.000
0.000 7.074 -0.131
0.000 2.500 6.646
Th Sc Pa As
1 1 2 4
direct
0.000 0.500 0.500
0.500 0.500 0.000
0.000 0.000 0.000
0.500 0.000 0.500
0.000 0.746 0.763
0.000 0.254 0.237
0.500 0.753 0.237
0.500 0.247 0.763
```

DFT formation energy ... -113.8 kJ per mole of atoms
Energy ... -7.597 eV/atom
Total magnetic moment ... 0.0 μB/cell


(2)
A plane-wave DFT calculation with PBE-GGA was carried out for a relaxed structure of V15Rh2Au2.

```
V15Rh2Au2
1.0
-0.072 -1.770 -6.328
-4.815 -4.458 0.355
-4.951 3.847 -1.966
V Rh Au
15 2 2
direct
0.500 0.000 0.000
0.000 0.000 0.500
0.000 0.500 0.000
0.000 0.311 0.689
0.311 0.689 0.000
0.689 0.000 0.311
0.689 0.311 0.000
0.311 0.000 0.689
0.000 0.689 0.311
0.834 0.346 0.346
0.346 0.346 0.834
0.346 0.834 0.346
0.166 0.654 0.654
0.654 0.654 0.166
0.654 0.166 0.654
0.903 0.903 0.903
0.097 0.097 0.097
0.651 0.651 0.651
0.349 0.349 0.349
```

DFT formation energy ... 20.3 kJ per mole of atoms
Energy ... -8.107 eV/atom
Total magnetic moment ... 3.1 μB/cell


(3)
A plane-wave DFT calculation with PBE-GGA was carried out for a relaxed structure of SrSN2.

```
SrSN2
1.0
-0.322 -2.484 5.584
3.473 -2.986 4.059
2.344 0.659 5.615
Sr S N
1 1 2
direct
0.500 0.500 0.500
0.000 0.000 0.000
0.907 0.907 0.907
0.093 0.093 0.093
```

Uncorrected formation energy ... 113 meV/atom
Energy ... -5.502 eV/atom
Total magnetic moment ... 0.0 μB/cell
Offset from the most stable computed form ... 0.000 eV per atom


(4)
A plane-wave DFT calculation with PBE-GGA was carried out for a relaxed structure of La4SbPb2Se.

```
La4SbPb2Se
1.0
4.483 0.000 0.000
0.000 8.178 -0.300
0.000 2.740 7.339
La Sb Pb Se
4 1 2 1
direct
0.000 0.739 0.749
0.000 0.261 0.251
0.500 0.736 0.260
0.500 0.264 0.740
0.500 0.500 0.000
0.000 0.000 0.000
0.500 0.000 0.500
0.000 0.500 0.500
```

Uncorrected formation energy ... -1067 meV/atom
Energy ... -5.409 eV/atom
Total magnetic moment ... 0.0 μB/cell


(5)
A plane-wave DFT calculation with PBE-GGA was carried out for a relaxed structure of Pr3MgAg2.

```
Pr3MgAg2
1.0
3.836 0.000 0.000
0.000 3.836 0.000
0.000 0.000 11.396
Pr Mg Ag
3 1 2
direct
0.000 0.000 0.000
0.000 0.000 0.673
0.000 0.000 0.327
0.500 0.500 0.500
0.500 0.500 0.833
0.500 0.500 0.167
```

DFT formation energy ... -19.4 kJ per mole of atoms
Energy ... -3.807 eV/atom
Total magnetic moment ... 0.0 μB/cell


(6)
A plane-wave DFT calculation with PBE-GGA was carried out for a relaxed structure of SrMg2TiHg.

```
SrMg2TiHg
1.0
5.418 0.000 0.000
0.000 5.336 0.000
0.000 0.000 5.418
Sr Mg Hg Ti
1 2 1 1
direct
0.500 0.500 0.500
0.000 0.000 0.500
0.500 0.000 0.000
0.000 0.500 0.000
0.000 0.000 0.000
```

DFT formation energy ... 33.1 kJ per mole of atoms
Energy ... -2.271 eV/atom
Total magnetic moment ... 2.8 μB/cell


| no. | mass density (g/cm3) |
| --- | --- |
| 1 | 8.87 |
| 2 | 8.20 |
| 3 | 2.96 |
| 4 | 7.13 |
| 5 | 6.56 |
| 6 | 4.08 |